No. 1
Er2Co2SiNi5 | PBE-GGA | optimized geometry

The value obtained for the total energy is -6.03 eV per atom. The uncorrected formation energy is -264 meV per atom. The total moment comes out at 2.8 μB per formula unit.

The structure belongs to space group P4/mbm (No. 127); the cell edges are 8.795, 8.795 and 3.576 Å and the angles 90.00°, 90.00° and 90.00°. The asymmetric unit holds Er at (0.175, 0.325, 0.000), Co at (0.126, 0.626, 0.000), Si at (0.000, 0.000, 0.000), Ni at (0.000, 0.500, 0.500) and Ni at (0.059, 0.802, 0.500).

***

No. 2
ErCoSi2Ni | PBE-GGA | optimized geometry

The value obtained for the total energy is -6.48 eV per atom. The uncorrected formation energy is -824 meV per atom. The total moment comes out at 1.0 μB per formula unit.

The structure belongs to space group I-4m2 (No. 119); the cell edges are 3.904, 3.904 and 9.647 Å and the angles 90.00°, 90.00° and 90.00°. The asymmetric unit holds Er at (0.000, 0.000, 0.000), Co at (0.000, 0.500, 0.750), Si at (0.000, 0.000, 0.374) and Ni at (0.000, 0.500, 0.250).

***

> What is the formula in the first record?

Er2Co2SiNi5